[1]
A plane-wave DFT calculation with meta-GGA SCAN was carried out for ZrTeSN2 at its PBEsol-relaxed geometry.

## Properties
energy relative to the elements, uncorrected	825.8	meV per atom
energy relative to the lowest polymorph listed for this composition	0	meV per atom
E	-18.41	eV per atom
density of states at the Fermi level	2.738	states/eV/f.u.

a b c (Å): 3.9753 3.9753 4.9451
angles (deg): 90.00 90.00 90.00
Space group P4/mmm (No. 123)
Inequivalent atoms, fractional coordinates:
Zr  0.0000  0.0000  0.0000 (multiplicity 1)
Te  0.5000  0.5000  0.5000 (multiplicity 1)
S  0.5000  0.5000  0.0000 (multiplicity 1)
N  0.0000  0.5000  0.5000 (multiplicity 2)



[2]
A plane-wave DFT calculation with meta-GGA SCAN was carried out for Th2SN2 at its PBEsol-relaxed geometry.

## Properties
energy relative to the elements, uncorrected	-2246.5	meV per atom
E	-46.26	eV per atom
density of states at the Fermi level	0.000	states/eV/f.u.

a b c (Å): 3.9861 3.9861 6.8463
angles (deg): 90.00 90.00 120.00
Space group P-3m1 (No. 164)
Inequivalent atoms, fractional coordinates:
Th  0.3333  0.6667  0.2867 (multiplicity 2)
S  0.0000  0.0000  0.0000 (multiplicity 1)
N  0.3333  0.6667  0.6316 (multiplicity 2)



The lowest E belongs to which entry?
Th2SN2